9
Lattice="-2.476 4.498 -3.177 -4.834 -0.106 3.617 2.639 4.027 3.644" Properties=species:S:1:pos:R:3 comment="PBE KSnHg3O4, optimized geometry" total_energy_ev_per_atom=-3.41 sg="No. 215" pbc="T T T"
O -4.265 4.280 1.420
O -2.281 4.098 4.067
O -1.367 5.883 1.431
Hg -1.098 1.960 3.631
K 0.000 0.000 0.000
Hg 0.081 4.263 0.233
Hg -3.655 2.196 0.220
O -1.430 2.577 1.250
Sn -2.336 4.210 2.042


8
Lattice="3.317 -4.171 -1.787 -2.171 -0.897 5.107 -4.288 0.416 -3.611" Properties=species:S:1:pos:R:3 comment="PBE K2SnHgO4, optimized geometry" total_energy_ev_per_atom=-4.43 sg="No. 121" pbc="T T T"
O -2.278 -2.514 -0.620
O 1.211 -1.984 -0.152
K -3.229 -0.241 0.748
Hg 0.000 0.000 0.000
K -0.485 -1.878 -2.699
O -0.376 -4.290 1.738
Sn 0.573 -2.534 1.660
O -0.551 -0.932 2.062


12
Lattice="-8.831 0.569 1.435 0.958 5.948 3.539 0.466 6.971 0.107" Properties=species:S:1:pos:R:3 comment="PBE KTbHgO3, optimized geometry" total_energy_ev_per_atom=-5.36 sg="No. 63" total_magnetization_mub_per_fu=0.00 pbc="T T T"
Hg -3.541 8.214 2.956
K -3.954 4.470 1.899
O -5.556 8.296 3.269
Tb -2.208 0.142 0.359
O 0.041 0.369 0.104
Hg 0.550 4.989 1.408
O -3.032 12.834 4.260
O -1.537 8.038 2.616
O -1.454 5.165 1.748
O -6.267 5.475 2.530
Tb -6.624 0.426 1.076
K 0.963 8.733 2.465


What is the formula in the third record?
KTbHgO3